1.
Density functional theory data (PBE) for a relaxed BSe2BrO crystal.

Excess energy over the best structure of this formula in the dataset = 0.000 eV/atom
Crystal system = tetragonal
ΔE_f (raw) = 1.09 eV per atom
DOS(E_F) = 4.4 states/eV/cell

Lattice parameters (Å, degrees): 4.0724 4.0724 7.1587 90.00 90.00 90.00
Closest atoms and distances in Å follow each position.
Atoms (fractional coordinates):
O (0.0000, 0.0000, 0.0000)  4 Se 2.04
Se (0.5000, 0.0000, 0.0000)  2 O 2.04
Se (0.0000, 0.5000, 0.0000)  2 O 2.04
Br (0.0000, 0.0000, 0.5000)  4 B 2.88
B (0.5000, 0.5000, 0.5000)  4 Br 2.88

2.
Density functional theory data (PBE) for a relaxed Sr5B3BrO9 crystal.

Crystal system = orthorhombic
ΔE_f (raw) = -2.80 eV per atom
DOS(E_F) = 0.0 states/eV/cell

Lattice parameters (Å, degrees): 8.7993 8.7993 7.6246 90.00 90.00 109.75
Closest atoms and distances in Å follow each position.
Atoms (fractional coordinates):
O (0.0280, 0.7346, 0.6146)  1 B 1.39
O (0.2654, 0.9720, 0.8854)  1 B 1.39
O (0.7346, 0.0280, 0.3854)  1 B 1.39
O (0.4884, 0.4884, 0.0000)  1 B 1.40
O (0.8454, 0.4422, 0.9871)  1 B 1.39
O (0.3116, 0.3051, 0.6602)  1 B 1.39
O (0.5116, 0.5116, 0.5000)  1 B 1.40
O (0.1379, 0.5178, 0.9855)  1 B 1.41
O (0.6949, 0.6884, 0.8398)  1 B 1.39
O (0.1546, 0.5578, 0.4871)  1 B 1.39
O (0.9720, 0.2654, 0.1146)  1 B 1.39
O (0.3051, 0.3116, 0.3398)  1 B 1.39
O (0.6884, 0.6949, 0.1602)  1 B 1.39
O (0.5578, 0.1546, 0.5129)  1 B 1.39
O (0.8621, 0.4822, 0.4855)  1 B 1.41
O (0.4422, 0.8454, 0.0129)  1 B 1.39
O (0.4822, 0.8621, 0.5145)  1 B 1.41
O (0.5178, 0.1379, 0.0145)  1 B 1.41
Sr (0.7319, 0.9945, 0.0725)  5 O 2.40-2.63
Sr (0.3633, 0.6367, 0.2500)  6 O 2.50-2.77
Sr (0.0055, 0.2681, 0.4275)  5 O 2.40-2.63
Sr (0.2417, 0.2417, 0.0000)  5 O 2.50-2.68
Sr (0.2681, 0.0055, 0.5725)  5 O 2.40-2.63
Sr (0.3629, 0.6371, 0.7500)  8 O 2.62-2.88
Sr (0.7583, 0.7583, 0.5000)  5 O 2.50-2.68
Sr (0.6367, 0.3633, 0.7500)  6 O 2.50-2.77
Sr (0.6371, 0.3629, 0.2500)  8 O 2.62-2.88
Sr (0.9945, 0.7319, 0.9275)  5 O 2.40-2.63
B (0.0156, 0.5928, 0.5275)  3 O 1.39-1.41
B (0.6268, 0.6268, 0.0000)  3 O 1.39-1.40
B (0.9844, 0.4072, 0.0275)  3 O 1.39-1.41
B (0.3732, 0.3732, 0.5000)  3 O 1.39-1.40
B (0.4072, 0.9844, 0.9725)  3 O 1.39-1.41
B (0.5928, 0.0156, 0.4725)  3 O 1.39-1.41
Br (0.0604, 0.9396, 0.2500)  4 Sr 3.00-3.22, 4 O 3.27-3.33
Br (0.9396, 0.0604, 0.7500)  4 Sr 3.00-3.22, 4 O 3.27-3.33

3.
Density functional theory data (PBE) for a relaxed Tc2BBrO crystal.

Crystal system = tetragonal
ΔE_f (raw) = 2.43 eV per atom
DOS(E_F) = 5.3 states/eV/cell

Lattice parameters (Å, degrees): 4.6624 3.9233 4.6624 90.00 90.00 90.00
Closest atoms and distances in Å follow each position.
Atoms (fractional coordinates):
O (0.5000, 0.5000, 0.5000)  8 Tc 3.05, 4 B 3.30
Tc (0.5000, 0.0000, 0.0000)  2 Br 2.33
Tc (0.0000, 0.0000, 0.5000)  2 Br 2.33
Br (0.0000, 0.0000, 0.0000)  2 B 1.96
B (0.0000, 0.5000, 0.0000)  2 Br 1.96

4.
Density functional theory data (PBE) for a relaxed BTeBr2O crystal.

Crystal system = tetragonal
ΔE_f (raw) = 1.13 eV per atom
DOS(E_F) = 1.8 states/eV/cell

Lattice parameters (Å, degrees): 4.8918 4.5129 4.8918 90.00 90.00 90.00
Closest atoms and distances in Å follow each position.
Atoms (fractional coordinates):
Te (0.0000, 0.5000, 0.0000)  2 O 2.26
O (0.0000, 0.0000, 0.0000)  2 Te 2.26, 4 Br 2.45
Br (0.0000, 0.0000, 0.5000)  2 O 2.45
Br (0.5000, 0.0000, 0.0000)  2 O 2.45
B (0.5000, 0.5000, 0.5000)  8 Br 3.33, 4 Te 3.46

5.
Density functional theory data (PBE) for a relaxed BOsBr2 crystal.

Excess energy over the best structure of this formula in the dataset = 0.000 eV/atom
Crystal system = tetragonal
ΔE_f (raw) = 0.64 eV per atom
DOS(E_F) = 3.5 states/eV/cell

Lattice parameters (Å, degrees): 9.3282 9.3282 6.9009 47.48 47.48 90.00
Closest atoms and distances in Å follow each position.
Atoms (fractional coordinates):
Os (0.7500, 0.2500, 0.5000)  2 B 2.03
Os (0.0000, 0.0000, 0.0000)  2 B 2.03
Br (0.9755, 0.6250, 0.2500)  2 Os 2.56
Br (0.7745, 0.1250, 0.2500)  2 Os 2.56
Br (0.3750, 0.2255, 0.7500)  2 Os 2.56
Br (0.8750, 0.0245, 0.7500)  2 Os 2.56
B (0.5000, 0.5000, 0.0000)  2 Os 2.03
B (0.2500, 0.7500, 0.5000)  2 Os 2.03

6.
Density functional theory data (PBE) for a relaxed BOsBr2 crystal.

Excess energy over the best structure of this formula in the dataset = 1.262 eV/atom
Crystal system = cubic
ΔE_f (raw) = 1.91 eV per atom
DOS(E_F) = 2.7 states/eV/cell

Lattice parameters (Å, degrees): 4.5439 4.5439 4.5439 60.00 60.00 60.00
Closest atoms and distances in Å follow each position.
Atoms (fractional coordinates):
Os (0.5000, 0.5000, 0.5000)  8 Br 2.78
Br (0.2500, 0.2500, 0.2500)  4 Os 2.78, 4 B 2.78
Br (0.7500, 0.7500, 0.7500)  4 B 2.78, 4 Os 2.78
B (0.0000, 0.0000, 0.0000)  8 Br 2.78

7.
Density functional theory data (PBE) for a relaxed BOsBr2 crystal.

Excess energy over the best structure of this formula in the dataset = 0.938 eV/atom
Crystal system = trigonal
ΔE_f (raw) = 1.58 eV per atom
DOS(E_F) = 3.5 states/eV/cell

Lattice parameters (Å, degrees): 7.9686 7.9686 7.9686 23.30 23.30 23.30
Closest atoms and distances in Å follow each position.
Atoms (fractional coordinates):
B (0.5000, 0.5000, 0.5000)  6 Br 2.38
Os (0.0000, 0.0000, 0.0000)  2 Br 2.39
Br (0.8973, 0.8973, 0.8973)  3 B 2.38, 1 Os 2.39
Br (0.1027, 0.1027, 0.1027)  3 B 2.38, 1 Os 2.39

8.
Density functional theory data (PBE) for a relaxed B3OsBr crystal.

Excess energy over the best structure of this formula in the dataset = 1.736 eV/atom
Crystal system = cubic
ΔE_f (raw) = 2.91 eV per atom
DOS(E_F) = 3.4 states/eV/cell

Lattice parameters (Å, degrees): 4.0062 4.0062 4.0062 90.00 90.00 90.00
Closest atoms and distances in Å follow each position.
Atoms (fractional coordinates):
B (0.0000, 0.5000, 0.0000)  2 Br 2.00
B (0.5000, 0.0000, 0.0000)  2 Br 2.00
B (0.0000, 0.0000, 0.5000)  2 Br 2.00
Br (0.0000, 0.0000, 0.0000)  6 B 2.00
Os (0.5000, 0.5000, 0.5000)  12 B 2.83

9.
Density functional theory data (PBE) for a relaxed BOs2Br crystal.

Excess energy over the best structure of this formula in the dataset = 0.425 eV/atom
Crystal system = cubic
ΔE_f (raw) = 1.50 eV per atom
DOS(E_F) = 2.5 states/eV/cell

Lattice parameters (Å, degrees): 4.2104 4.2104 4.2104 60.00 60.00 60.00
Closest atoms and distances in Å follow each position.
Atoms (fractional coordinates):
Os (0.2500, 0.2500, 0.2500)  4 Br 2.58, 4 B 2.58
Os (0.7500, 0.7500, 0.7500)  4 Br 2.58, 4 B 2.58
B (0.0000, 0.0000, 0.0000)  8 Os 2.58
Br (0.5000, 0.5000, 0.5000)  8 Os 2.58

10.
Density functional theory data (PBE) for a relaxed B3OsBr crystal.

Excess energy over the best structure of this formula in the dataset = 0.000 eV/atom
Crystal system = cubic
ΔE_f (raw) = 1.18 eV per atom
DOS(E_F) = 2.5 states/eV/cell

Lattice parameters (Å, degrees): 4.2199 4.2199 4.2199 90.00 90.00 90.00
Closest atoms and distances in Å follow each position.
Atoms (fractional coordinates):
Os (0.0000, 0.0000, 0.0000)  6 B 2.11
B (0.0000, 0.5000, 0.0000)  2 Os 2.11
B (0.0000, 0.0000, 0.5000)  2 Os 2.11
B (0.5000, 0.0000, 0.0000)  2 Os 2.11
Br (0.5000, 0.5000, 0.5000)  12 B 2.98

11.
Density functional theory data (PBE) for a relaxed BOs2Br crystal.

Excess energy over the best structure of this formula in the dataset = 0.000 eV/atom
Crystal system = tetragonal
ΔE_f (raw) = 1.07 eV per atom
DOS(E_F) = 8.1 states/eV/cell

Lattice parameters (Å, degrees): 4.6913 4.6913 7.0170 70.47 70.47 90.00
Closest atoms and distances in Å follow each position.
Atoms (fractional coordinates):
Os (0.2303, 0.6250, 0.2500)  2 B 2.06
Os (0.8750, 0.7697, 0.7500)  2 B 2.06
Os (0.3750, 0.4803, 0.7500)  2 B 2.06
Os (0.5197, 0.1250, 0.2500)  2 B 2.06
B (0.2500, 0.7500, 0.5000)  4 Os 2.06
B (0.5000, 0.5000, 0.0000)  4 Os 2.06
Br (0.7500, 0.2500, 0.5000)  4 Os 2.56
Br (0.0000, 0.0000, 0.0000)  4 Os 2.56

12.
Density functional theory data (PBE) for a relaxed RbBOs2Br crystal.

Crystal system = tetragonal
ΔE_f (raw) = 3.88 eV per atom
DOS(E_F) = 4.7 states/eV/cell

Lattice parameters (Å, degrees): 5.1564 5.2458 5.1564 90.00 90.00 90.00
Closest atoms and distances in Å follow each position.
Atoms (fractional coordinates):
Br (0.5000, 0.5000, 0.5000)  4 B 3.65, 8 Os 3.68
Rb (0.0000, 0.0000, 0.0000)  4 Os 2.58, 2 B 2.62
Os (0.0000, 0.0000, 0.5000)  2 Rb 2.58
Os (0.5000, 0.0000, 0.0000)  2 Rb 2.58
B (0.0000, 0.5000, 0.0000)  2 Rb 2.62

13.
Density functional theory data (PBE) for a relaxed ReBOs2Br crystal.

Crystal system = tetragonal
ΔE_f (raw) = 1.25 eV per atom
DOS(E_F) = 6.4 states/eV/cell

Lattice parameters (Å, degrees): 4.1675 4.2275 4.1675 90.00 90.00 90.00
Closest atoms and distances in Å follow each position.
Atoms (fractional coordinates):
Os (0.5000, 0.0000, 0.0000)  2 B 2.08
Os (0.0000, 0.0000, 0.5000)  2 B 2.08
Re (0.0000, 0.5000, 0.0000)  2 B 2.11
Br (0.5000, 0.5000, 0.5000)  4 Re 2.95, 8 Os 2.97
B (0.0000, 0.0000, 0.0000)  4 Os 2.08, 2 Re 2.11

14.
Density functional theory data (PBE) for a relaxed Re2BOsBr crystal.

Crystal system = tetragonal
ΔE_f (raw) = 3.31 eV per atom
DOS(E_F) = 5.2 states/eV/cell

Lattice parameters (Å, degrees): 4.5658 4.5309 4.5658 90.00 90.00 90.00
Closest atoms and distances in Å follow each position.
Atoms (fractional coordinates):
B (0.5000, 0.5000, 0.5000)  8 Re 3.22, 4 Os 3.23
Os (0.0000, 0.5000, 0.0000)  2 Br 2.27
Re (0.0000, 0.0000, 0.5000)  2 Br 2.28
Re (0.5000, 0.0000, 0.0000)  2 Br 2.28
Br (0.0000, 0.0000, 0.0000)  2 Os 2.27, 4 Re 2.28

15.
Density functional theory data (PBE) for a relaxed BOsSe2Br crystal.

Excess energy over the best structure of this formula in the dataset = 0.000 eV/atom
Crystal system = tetragonal
ΔE_f (raw) = 1.34 eV per atom
DOS(E_F) = 4.8 states/eV/cell

Lattice parameters (Å, degrees): 4.7840 4.7840 5.3928 90.00 90.00 90.00
Closest atoms and distances in Å follow each position.
Atoms (fractional coordinates):
Se (0.0000, 0.5000, 0.0000)  2 Os 2.39
Se (0.5000, 0.0000, 0.0000)  2 Os 2.39
B (0.5000, 0.5000, 0.5000)  4 Br 3.38, 8 Se 3.60
Os (0.0000, 0.0000, 0.0000)  4 Se 2.39
Br (0.0000, 0.0000, 0.5000)  2 Os 2.70

16.
Density functional theory data (PBE) for a relaxed BOsSe2Br crystal.

Excess energy over the best structure of this formula in the dataset = 0.098 eV/atom
Crystal system = tetragonal
ΔE_f (raw) = 1.44 eV per atom
DOS(E_F) = 3.5 states/eV/cell

Lattice parameters (Å, degrees): 4.3671 4.3671 4.3560 90.00 90.00 90.00
Closest atoms and distances in Å follow each position.
Atoms (fractional coordinates):
Br (0.0000, 0.0000, 0.5000)  2 B 2.18
B (0.0000, 0.0000, 0.0000)  2 Br 2.18, 4 Se 2.18
Se (0.5000, 0.0000, 0.0000)  2 B 2.18
Se (0.0000, 0.5000, 0.0000)  2 B 2.18
Os (0.5000, 0.5000, 0.5000)  8 Se 3.08, 4 Br 3.09

17.
Density functional theory data (PBE) for a relaxed BOsW2Br crystal.

Crystal system = tetragonal
ΔE_f (raw) = 3.13 eV per atom
DOS(E_F) = 4.7 states/eV/cell

Lattice parameters (Å, degrees): 4.5966 4.4802 4.5966 90.00 90.00 90.00
Closest atoms and distances in Å follow each position.
Atoms (fractional coordinates):
W (0.5000, 0.0000, 0.0000)  2 Br 2.30
W (0.0000, 0.0000, 0.5000)  2 Br 2.30
Os (0.0000, 0.5000, 0.0000)  2 Br 2.24
B (0.5000, 0.5000, 0.5000)  8 W 3.21, 4 Os 3.25
Br (0.0000, 0.0000, 0.0000)  2 Os 2.24, 4 W 2.30

18.
Density functional theory data (PBE) for a relaxed ZnB2OsBr crystal.

Crystal system = tetragonal
ΔE_f (raw) = 0.91 eV per atom
DOS(E_F) = 3.0 states/eV/cell

Lattice parameters (Å, degrees): 4.0405 5.5669 4.0405 90.00 90.00 90.00
Closest atoms and distances in Å follow each position.
Atoms (fractional coordinates):
Zn (0.5000, 0.5000, 0.5000)  4 Br 2.86
B (0.0000, 0.0000, 0.5000)  2 Os 2.02
B (0.5000, 0.0000, 0.0000)  2 Os 2.02
Br (0.0000, 0.5000, 0.0000)  2 Os 2.78, 4 Zn 2.86
Os (0.0000, 0.0000, 0.0000)  4 B 2.02

19.
Density functional theory data (PBE) for a relaxed BP3Br crystal.

Excess energy over the best structure of this formula in the dataset = 1.314 eV/atom
Crystal system = cubic
ΔE_f (raw) = 2.39 eV per atom
DOS(E_F) = 6.9 states/eV/cell

Lattice parameters (Å, degrees): 4.8494 4.8494 4.8494 90.00 90.00 90.00
Closest atoms and distances in Å follow each position.
Atoms (fractional coordinates):
Br (0.0000, 0.0000, 0.0000)  6 P 2.42
P (0.5000, 0.0000, 0.0000)  2 Br 2.42
P (0.0000, 0.5000, 0.0000)  2 Br 2.42
P (0.0000, 0.0000, 0.5000)  2 Br 2.42
B (0.5000, 0.5000, 0.5000)  12 P 3.43

20.
Density functional theory data (PBE) for a relaxed BPBr2 crystal.

Excess energy over the best structure of this formula in the dataset = 0.141 eV/atom
Crystal system = trigonal
ΔE_f (raw) = 1.15 eV per atom
DOS(E_F) = 1.4 states/eV/cell

Lattice parameters (Å, degrees): 8.5524 8.5524 8.5524 23.14 23.14 23.14
Closest atoms and distances in Å follow each position.
Atoms (fractional coordinates):
P (0.0000, 0.0000, 0.0000)  2 Br 2.53
Br (0.1014, 0.1014, 0.1014)  1 P 2.53, 3 B 2.56
Br (0.8986, 0.8986, 0.8986)  1 P 2.53, 3 B 2.56
B (0.5000, 0.5000, 0.5000)  6 Br 2.56